## Ca2AcRh2 (PBE)

Data for Ca2AcRh2 after structural relaxation.

Results
electronic total energy: -4.9628 eV per atom
energy above the most stable polymorph in this dataset: 30 meV/atom
calculated volume: 27.18 A^3/atom
formation energy: -2.0 eV per formula unit
SG: C2/m
total magnetization: 0.00 μB per atom
Fermi-level density of states: 0.60 states/eV/atom

Cell lengths 6.1470, 6.1470, 5.9923 Å; angles 105.23, 105.23, 38.67 degrees
Closest atoms and distances in Å follow each position.
Positions (direct):
Ca: 0.1593 0.1593 0.1033  4 Rh 2.90-3.13
Ca: 0.8407 0.8407 0.8967  4 Rh 2.90-3.13
Ac: 0.5000 0.5000 0.5000  4 Rh 2.98
Rh: 0.1950 0.1950 0.6048  2 Rh 2.87, 4 Ca 2.90-3.13, 2 Ac 2.98
Rh: 0.8050 0.8050 0.3952  2 Rh 2.87, 4 Ca 2.90-3.13, 2 Ac 2.98

=====

## Cu3Se2 (PBE)

Data for Cu3Se2 after structural relaxation.

Results
electronic total energy: -3.8882 eV per atom
calculated volume: 17.78 A^3/atom
SG: Fdd2
total magnetization: 0.00 μB per atom
Fermi-level density of states: 0.46 states/eV/atom

Cell lengths 7.6967, 6.4905, 9.6931 Å; angles 52.36, 41.89, 85.75 degrees
Closest atoms and distances in Å follow each position.
Positions (direct):
Cu: 0.0000 0.0000 0.0000  2 Se 2.37
Cu: 0.2500 0.2500 0.2500  2 Se 2.37
Cu: 0.3500 0.6483 0.6756  4 Se 2.44-2.56
Cu: 0.5744 0.9240 0.9000  4 Se 2.44-2.56
Cu: 0.6483 0.3500 0.3260  4 Se 2.44-2.56
Cu: 0.9240 0.5744 0.6017  4 Se 2.44-2.56
Se: 0.1825 0.3219 0.4948  5 Cu 2.37-2.56
Se: 0.2493 0.7552 0.9281  5 Cu 2.37-2.56
Se: 0.3219 0.1825 0.0007  5 Cu 2.37-2.56
Se: 0.7552 0.2493 0.0675  5 Cu 2.37-2.56

=====

## Fe3ReMo (PBE)

Data for Fe3ReMo after structural relaxation.

Results
electronic total energy: -8.0127 eV per atom
energy above the most stable polymorph in this dataset: 0 meV/atom
calculated volume: 16.75 A^3/atom
formation energy: 8.6 eV per formula unit
SG: Pm-3m
total magnetization: 1.00 μB per atom
Fermi-level density of states: 1.13 states/eV/atom

Cell lengths 4.3753, 4.3753, 4.3753 Å; angles 90.00, 90.00, 90.00 degrees
Closest atoms and distances in Å follow each position.
Positions (direct):
Fe: 0.0000 0.0000 0.5000  2 Re 2.19
Fe: 0.0000 0.5000 0.0000  2 Re 2.19
Fe: 0.5000 0.0000 0.0000  2 Re 2.19
Re: 0.0000 0.0000 0.0000  6 Fe 2.19
Mo: 0.5000 0.5000 0.5000  12 Fe 3.09

=====

## LaYPu2 (PBE)

Data for LaYPu2 after structural relaxation.

Results
electronic total energy: -9.8028 eV per atom
energy above the most stable polymorph in this dataset: 1 meV/atom
calculated volume: 31.39 A^3/atom
formation energy: 0.8 eV per formula unit
SG: R3m
total magnetization: 0.00 μB per atom
Fermi-level density of states: 3.96 states/eV/atom

Cell lengths 11.6359, 11.6359, 11.6359 Å; angles 17.59, 17.59, 17.59 degrees
Closest atoms and distances in Å follow each position.
Positions (direct):
La: 0.0000 0.0000 0.0000  6 Pu 3.55-3.57, 6 La 3.56
Y: 0.8340 0.8340 0.8340  6 Pu 3.48-3.49, 6 Y 3.56
Pu: 0.2491 0.2491 0.2491  3 Y 3.48, 3 La 3.55, 6 Pu 3.56
Pu: 0.4185 0.4185 0.4185  3 Y 3.49, 6 Pu 3.56, 3 La 3.57

=====

## Pm8TmTl2 (PBE)

Data for Pm8TmTl2 after structural relaxation.

Results
electronic total energy: -4.3969 eV per atom
energy above the most stable polymorph in this dataset: 0 meV/atom
calculated volume: 32.18 A^3/atom
formation energy: -1.2 eV per formula unit
SG: C2/m
total magnetization: 0.00 μB per atom
Fermi-level density of states: 1.30 states/eV/atom

Cell lengths 9.1502, 9.1502, 8.3394 Å; angles 110.01, 110.01, 32.87 degrees
Closest atoms and distances in Å follow each position.
Positions (direct):
Pm: 0.0518 0.0518 0.2389  1 Tl 3.38, 9 Pm 3.51-3.75, 2 Tm 3.70
Pm: 0.1440 0.1440 0.7031  3 Tl 3.41-3.42, 2 Tm 3.59, 7 Pm 3.60-3.64
Pm: 0.3145 0.3145 0.5535  1 Tl 3.24, 6 Pm 3.34-3.60, 1 Tm 3.44
Pm: 0.4005 0.4005 0.0364  3 Tl 3.36-3.52, 1 Tm 3.63, 8 Pm 3.64-3.76
Pm: 0.5995 0.5995 0.9636  3 Tl 3.36-3.52, 1 Tm 3.63, 8 Pm 3.64-3.76
Pm: 0.6855 0.6855 0.4465  1 Tl 3.24, 6 Pm 3.34-3.60, 1 Tm 3.44
Pm: 0.8560 0.8560 0.2969  3 Tl 3.41-3.42, 2 Tm 3.59, 7 Pm 3.60-3.64
Pm: 0.9482 0.9482 0.7611  1 Tl 3.38, 9 Pm 3.51-3.75, 2 Tm 3.70
Tm: 0.5000 0.5000 0.5000  12 Pm 3.44-3.70
Tl: 0.2230 0.2230 0.1406  8 Pm 3.24-3.52
Tl: 0.7770 0.7770 0.8594  8 Pm 3.24-3.52

=====

## Sr2SiW (PBE)

Data for Sr2SiW after structural relaxation.

Results
electronic total energy: -5.0113 eV per atom
calculated volume: 29.98 A^3/atom
SG: Amm2
total magnetization: 0.30 μB per atom
Fermi-level density of states: 1.18 states/eV/atom

Cell lengths 4.2877, 6.3655, 6.3655 Å; angles 43.64, 90.00, 90.00 degrees
Closest atoms and distances in Å follow each position.
Positions (direct):
Sr: 0.0000 0.0000 0.0000  3 W 3.27-3.66, 4 Si 3.37
Sr: 0.5000 0.2857 0.2857  3 Si 3.30-3.61, 4 W 3.39
Si: 0.5000 0.5915 0.5915  2 W 2.44
W: 0.0000 0.6906 0.6906  2 Si 2.44

=====

## Ba2TcPt (PBE)

Data for Ba2TcPt after structural relaxation.

Results
electronic total energy: -4.9051 eV per atom
energy above the most stable polymorph in this dataset: 199 meV/atom
calculated volume: 36.67 A^3/atom
formation energy: 0.6 eV per formula unit
SG: Imm2
total magnetization: 0.14 μB per atom
Fermi-level density of states: 1.19 states/eV/atom

Cell lengths 7.5935, 7.5935, 7.5935 Å; angles 145.98, 142.99, 51.14 degrees
Closest atoms and distances in Å follow each position.
Positions (direct):
Ba: 0.0000 0.0000 0.0000  2 Pt 3.31, 4 Tc 3.53
Ba: 0.7451 0.2451 0.5000  2 Tc 3.26, 4 Pt 3.50
Tc: 0.4053 0.4053 0.0000  2 Pt 2.43
Pt: 0.3340 0.8340 0.5000  2 Tc 2.43

=====

## Pu5P4I (PBE)

Data for Pu5P4I after structural relaxation.

Results
electronic total energy: -10.5537 eV per atom
calculated volume: 24.37 A^3/atom
SG: C2/m
total magnetization: 2.67 μB per atom
Fermi-level density of states: 4.42 states/eV/atom

Cell lengths 7.1408, 7.1408, 10.1061 Å; angles 118.62, 118.62, 33.09 degrees
Closest atoms and distances in Å follow each position.
Positions (direct):
Pu: 0.0000 0.0000 0.0000  6 P 2.88-2.90
Pu: 0.2087 0.2087 0.8228  5 P 2.81-2.88, 1 I 3.08
Pu: 0.3840 0.3840 0.6128  4 P 2.79-2.91, 2 I 3.13
Pu: 0.6160 0.6160 0.3872  4 P 2.79-2.91, 2 I 3.13
Pu: 0.7913 0.7913 0.1772  5 P 2.81-2.88, 1 I 3.08
P: 0.2073 0.2073 0.2928  6 Pu 2.79-2.91
P: 0.4081 0.4081 0.1087  6 Pu 2.81-2.88
P: 0.5919 0.5919 0.8913  6 Pu 2.81-2.88
P: 0.7927 0.7927 0.7072  6 Pu 2.79-2.91
I: 0.0000 0.0000 0.5000  6 Pu 3.08-3.13